No. 1
! La2Er8Al (PBE, relaxed); values from VASP
&SYSTEM
  ibrav = 0, nat = 11, ntyp = 3
/
ATOMIC_SPECIES
La 138.91 La.upf
Er 167.26 Er.upf
Al 26.98 Al.upf
CELL_PARAMETERS angstrom
9.346 -2.682 0.000
9.346 2.682 0.000
-0.472 0.000 6.739
ATOMIC_POSITIONS angstrom
La 4.063 0.000 1.114
La 14.158 0.000 5.625
Er 0.512 0.000 1.739
Er 2.621 0.000 4.512
Er 6.195 0.000 4.017
Er 7.691 0.000 0.603
Er 10.530 0.000 6.136
Er 12.026 0.000 2.722
Er 15.600 0.000 2.227
Er 17.709 0.000 5.000
Al 9.110 0.000 3.370
! DFT formation energy (eV/atom): -0.0166
! Uncorrected energy (eV per atom): -4.571
! Theoretical density (g/cm3): 8.08

---

No. 2
! BeZnPt2 (PBE, relaxed); values from VASP
&SYSTEM
  ibrav = 0, nat = 12, ntyp = 3
/
ATOMIC_SPECIES
Be 9.01 Be.upf
Zn 65.41 Zn.upf
Pt 195.08 Pt.upf
CELL_PARAMETERS angstrom
3.718 0.000 0.000
-1.859 3.220 0.000
0.000 0.000 14.637
ATOMIC_POSITIONS angstrom
Be 0.000 0.000 0.000
Be 0.000 2.147 9.758
Be 1.859 1.073 4.879
Zn 0.000 0.000 12.115
Zn 0.000 2.147 7.236
Zn 1.859 1.073 2.357
Pt 0.000 0.000 5.777
Pt 0.000 0.000 8.749
Pt 0.000 2.147 0.898
Pt 0.000 2.147 3.870
Pt 1.859 1.073 10.656
Pt 1.859 1.073 13.628
! DFT formation energy (eV/atom): -0.4098
! Uncorrected energy (eV per atom): -4.680
! Theoretical density (g/cm3): 13.20
! ΔE to the lowest computed polymorph (meV/atom): 269.1

---

No. 3
! BeCo2Tc (PBE, relaxed); values from VASP
&SYSTEM
  ibrav = 0, nat = 4, ntyp = 3
/
ATOMIC_SPECIES
Be 9.01 Be.upf
Co 58.93 Co.upf
Tc 98.00 Tc.upf
CELL_PARAMETERS angstrom
2.639 0.000 0.000
0.000 2.639 0.000
0.000 0.000 6.236
ATOMIC_POSITIONS angstrom
Be 0.000 0.000 0.000
Co 0.000 0.000 2.824
Co 1.319 1.319 1.224
Tc 1.319 1.319 4.588
! DFT formation energy (eV/atom): -0.0422
! Uncorrected energy (eV per atom): -7.118
! Theoretical density (g/cm3): 8.60
! ΔE to the lowest computed polymorph (meV/atom): 125.7